VASP calculation (PBE-GGA) on Ti3Ir8 after structural relaxation.

Lattice parameters (Å, degrees): 4.647 5.756 7.116 84.81 71.53 89.07
Space group P-1 (No. 2)
Symmetry-distinct sites (fractional):
Ti1 0.000 0.000 0.000 x1
Ti2 0.000 0.500 0.500 x1
Ti3 0.500 0.000 0.500 x1
Ir1 0.081 0.117 0.329 x2
Ir2 0.198 0.489 0.085 x2
Ir3 0.392 0.586 0.689 x2
Ir4 0.467 0.836 0.156 x2

## Properties
ΔE_f in eV/atom: -0.1985